This record from Alexandria via LeMat-Bulk describes crystalline ReB3As at its relaxed geometry. The functional is PBE-GGA.

Computed properties:
**Calculated volume**: 72.4 Å³/f.u.
**Symmetry**: No. 221
**Total DFT energy (no corrections)**: -0.221 hartree per atom

abc: 4.1682 4.1682 4.1682
angles: 90.00 90.00 90.00
Fractional coordinates of all 5 atoms:
Re (0.0000, 0.0000, 0.0000)
As (0.5000, 0.5000, 0.5000)
B (0.0000, 0.5000, 0.0000)
B (0.0000, 0.0000, 0.5000)
B (0.5000, 0.0000, 0.0000)

=====

This record from Alexandria via LeMat-Bulk describes crystalline ReB3As at its relaxed geometry. The functional is PBE-GGA.

Computed properties:
**Calculated volume**: 63.3 Å³/f.u.
**Symmetry**: No. 221
**Total DFT energy (no corrections)**: -0.188 hartree per atom

abc: 3.9850 3.9850 3.9850
angles: 90.00 90.00 90.00
Fractional coordinates of all 5 atoms:
Re (0.5000, 0.5000, 0.5000)
As (0.0000, 0.0000, 0.0000)
B (0.0000, 0.5000, 0.0000)
B (0.0000, 0.0000, 0.5000)
B (0.5000, 0.0000, 0.0000)

=====

This record from Alexandria via LeMat-Bulk describes crystalline ReBAsRu2 at its relaxed geometry. The functional is PBE-GGA.

Computed properties:
**Calculated volume**: 104.9 Å³/f.u.
**Symmetry**: No. 123
**Total DFT energy (no corrections)**: -0.231 hartree per atom

abc: 4.7290 4.6900 4.7290
angles: 90.00 90.00 90.00
Fractional coordinates of all 5 atoms:
Re (0.0000, 0.0000, 0.0000)
As (0.0000, 0.5000, 0.0000)
B (0.5000, 0.5000, 0.5000)
Ru (0.0000, 0.0000, 0.5000)
Ru (0.5000, 0.0000, 0.0000)

=====

This record from Alexandria via LeMat-Bulk describes crystalline ReBAsSe2 at its relaxed geometry. The functional is PBE-GGA.

Computed properties:
**Calculated volume**: 80.5 Å³/f.u.
**Symmetry**: No. 123
**Total DFT energy (no corrections)**: -0.181 hartree per atom
**ΔE_f (raw)**: 1217 meV/atom

abc: 4.3662 4.3662 4.2248
angles: 90.00 90.00 90.00
Fractional coordinates of all 5 atoms:
Re (0.5000, 0.5000, 0.5000)
As (0.0000, 0.0000, 0.5000)
B (0.0000, 0.0000, 0.0000)
Se (0.0000, 0.5000, 0.0000)
Se (0.5000, 0.0000, 0.0000)

=====

Number 1: N(E_F) 3.22 states/eV/cell. Number 2: N(E_F) 3.57 states/eV/cell. Number 3: N(E_F) 5.91 states/eV/cell. Number 4: N(E_F) 3.31 states/eV/cell.